Below is a geometry-optimized K4DyU3O12 structure, with properties calculated at the GGA-PBE level.

Results
- final energy (eV for the cell shown) = -321.7
- crystal system = cubic

Cell: 8.643 8.643 8.643 Å, 90.00 90.00 90.00°
Space group Im-3m (No. 229)
Asymmetric unit:
K  0.250  0.250  0.250 (multiplicity 8)
Dy  0.000  0.000  0.000 (multiplicity 2)
U  0.000  0.000  0.500 (multiplicity 6)
O  0.000  0.000  0.265 (multiplicity 12)
O  0.000  0.250  0.500 (multiplicity 12)



Below is a geometry-optimized K2DyUO6 structure, with properties calculated at the GGA-PBE level.

Results
- final energy (eV for the cell shown) = -298.9
- crystal system = cubic

Cell: 8.678 8.678 8.678 Å, 90.00 90.00 90.00°
Space group Fm-3m (No. 225)
Asymmetric unit:
K  0.250  0.250  0.250 (multiplicity 8)
Dy  0.000  0.000  0.000 (multiplicity 4)
U  0.000  0.000  0.500 (multiplicity 4)
O  0.000  0.000  0.261 (multiplicity 24)



Below is a geometry-optimized K3Dy3UO8 structure, with properties calculated at the GGA-PBE level.

Results
- final energy (eV for the cell shown) = -331.7
- crystal system = trigonal

Cell: 6.9781 6.9781 19.0493 Å, 90.00 90.00 120.00°
Space group R-3m (No. 166, hexagonal axes)
Asymmetric unit:
K  0.0000  0.5000  0.0000 (multiplicity 9)
Dy  0.0000  0.5000  0.5000 (multiplicity 9)
U  0.0000  0.0000  0.5000 (multiplicity 3)
O  0.0000  0.0000  0.2267 (multiplicity 6)
O  0.0099  0.5049  0.2250 (multiplicity 18)



Below is a geometry-optimized K2DyU3O12 structure, with properties calculated at the GGA-PBE level.

Results
- final energy (eV for the cell shown) = -455.8
- crystal system = trigonal

Cell: 8.1139 8.1139 19.0365 Å, 90.00 90.00 120.00°
Space group R-3m (No. 166, hexagonal axes)
Asymmetric unit:
K  0.0000  0.0000  0.1740 (multiplicity 6)
Dy  0.0000  0.0000  0.5000 (multiplicity 3)
U  0.0000  0.5000  0.0000 (multiplicity 9)
O  0.0637  0.5318  0.1011 (multiplicity 18)
O  0.0917  0.5459  0.3541 (multiplicity 18)